DyPuNiO6: optimized geometry, GGA+U.

As for the total DFT energy (no corrections): -8.086 eV/atom.

The structure belongs to space group P-31c (No. 163); the cell edges are 5.2728, 5.2728 and 9.9695 Å and the angles 90.00°, 90.00° and 120.00°. The inequivalent atoms are Dy at (0.0000, 0.0000, 0.0000), Pu at (0.3333, 0.6667, 0.2500), Ni at (0.3333, 0.6667, 0.7500) and O at (0.0101, 0.3547, 0.1372).